The following is a DFT calculation (GGA-PBE) of KCoB2S after structural relaxation.

Structure (CIF):
```
data_KCoB2S
_cell_length_a 3.9723
_cell_length_b 3.9723
_cell_length_c 5.4842
_cell_angle_alpha 90.00
_cell_angle_beta 90.00
_cell_angle_gamma 90.00
_space_group_name_H-M_alt 'P 4/m m m'
_space_group_IT_number 123
_space_group_name_Hall '-P 4 2'
loop_
_atom_site_label
_atom_site_type_symbol
_atom_site_fract_x
_atom_site_fract_y
_atom_site_fract_z
K1 K 0.0000 0.0000 0.0000
Co1 Co 0.5000 0.5000 0.0000
B1 B 0.0000 0.5000 0.5000
S1 S 0.0000 0.0000 0.5000
```

For the raw formation energy, the calculation gives 1.867 eV per atom. The value obtained for the total magnetization is 0.3751 μB per atom.

The following is a DFT calculation (GGA-PBE) of Rb3TmNp2O9 after structural relaxation.

Structure (CIF):
```
data_Rb3TmNp2O9
_cell_length_a 6.0971
_cell_length_b 6.0971
_cell_length_c 7.4695
_cell_angle_alpha 90.00
_cell_angle_beta 90.00
_cell_angle_gamma 120.00
_space_group_name_H-M_alt 'P -3 m 1'
_space_group_IT_number 164
_space_group_name_Hall '-P 3 2"'
loop_
_atom_site_label
_atom_site_type_symbol
_atom_site_fract_x
_atom_site_fract_y
_atom_site_fract_z
Rb1 Rb 0.0000 0.0000 0.0000
Rb2 Rb 0.3333 0.6667 0.6632
Tm1 Tm 0.0000 0.0000 0.5000
Np1 Np 0.3333 0.6667 0.1685
O1 O 0.0000 0.5000 0.0000
O2 O 0.1746 0.3492 0.3236
```

For the raw formation energy, the calculation gives -2.698 eV per atom. The value obtained for the total magnetization is 0.1333 μB per atom.